1.
{"formula": "PmDySi2Pt2", "functional": "PBE", "state": "optimized geometry", "spacegroup": "P-3m1 (164)", "crystal_system": "trigonal", "e_form_raw_mev_per_atom": -1141, "m_tot_mub_per_fu": 0.00, "final_energy_ev_per_atom": -6.5209, "lattice_angstrom": [[4.162, 0.000, 0.000], [-2.081, 3.605, 0.000], [0.000, 0.000, 8.260]], "species": ["Pm", "Dy", "Si", "Si", "Pt", "Pt"], "fractional_positions": [[0.000, 0.000, 0.000], [0.000, 0.000, 0.500], [0.667, 0.333, 0.254], [0.333, 0.667, 0.746], [0.667, 0.333, 0.740], [0.333, 0.667, 0.260]]}

---

2.
{"formula": "ErRhF", "functional": "PBE", "state": "optimized geometry", "spacegroup": "C2/m (12)", "crystal_system": "monoclinic", "e_form_raw_mev_per_atom": -1871, "m_tot_mub_per_fu": 0.00, "final_energy_ev_per_atom": -6.4662, "lattice_angstrom": [[-0.741, 3.427, -0.638], [-0.261, -0.522, -3.516], [-7.090, -3.290, 3.333]], "species": ["F", "F", "Rh", "Rh", "Er", "Er"], "fractional_positions": [[0.271, 0.271, 0.557], [0.729, 0.729, 0.443], [0.690, 0.690, 0.929], [0.310, 0.310, 0.071], [0.021, 0.021, 0.725], [0.979, 0.979, 0.275]]}

---

3.
{"formula": "Fe2Co3Ge", "functional": "PBE", "state": "optimized geometry", "ef_mev_per_atom": -120, "spacegroup": "P-3m1 (164)", "crystal_system": "trigonal", "m_tot_mub_per_fu": 9.98, "final_energy_ev_per_atom": -7.2630, "lattice_angstrom": [[4.038, 0.000, 0.000], [-2.019, 3.497, 0.000], [0.000, 0.000, 4.966]], "species": ["Fe", "Fe", "Co", "Co", "Co", "Ge"], "fractional_positions": [[0.667, 0.333, 0.337], [0.333, 0.667, 0.663], [0.000, 0.000, 0.500], [0.667, 0.333, 0.832], [0.333, 0.667, 0.168], [0.000, 0.000, 0.000]]}

---

4.
{"formula": "ZrSe2SBr", "functional": "PBE", "state": "optimized geometry", "spacegroup": "P4/mmm (123)", "crystal_system": "tetragonal", "e_form_raw_mev_per_atom": 326, "m_tot_mub_per_fu": 1.34, "final_energy_ev_per_atom": -3.9371, "lattice_angstrom": [[-3.238, -1.720, 3.161], [3.377, -2.922, 1.869], [1.284, 3.567, 3.256]], "species": ["S", "Se", "Se", "Br", "Zr"], "fractional_positions": [[0.000, 0.000, 0.000], [0.000, 0.500, 0.000], [0.500, 0.000, 0.000], [0.000, 0.000, 0.500], [0.500, 0.500, 0.500]]}

---

5.
{"formula": "CsSn3Bi", "functional": "PBE", "state": "optimized geometry", "ef_mev_per_atom": 362, "spacegroup": "Pm-3m (221)", "crystal_system": "cubic", "m_tot_mub_per_fu": 0.00, "final_energy_ev_per_atom": -2.9871, "lattice_angstrom": [[6.062, 0.000, 0.000], [0.000, 6.062, 0.000], [0.000, 0.000, 6.062]], "species": ["Cs", "Bi", "Sn", "Sn", "Sn"], "fractional_positions": [[0.500, 0.500, 0.500], [0.000, 0.000, 0.000], [0.000, 0.500, 0.000], [0.000, 0.000, 0.500], [0.500, 0.000, 0.000]]}

---

6.
{"formula": "Zn2Ag", "functional": "PBE", "state": "optimized geometry", "ef_mev_per_atom": 104, "spacegroup": "I4/mcm (140)", "crystal_system": "tetragonal", "m_tot_mub_per_fu": 0.00, "final_energy_ev_per_atom": -1.6954, "lattice_angstrom": [[-3.102, 3.102, 2.754], [3.102, -3.102, 2.754], [3.102, 3.102, -2.754]], "species": ["Zn", "Zn", "Zn", "Zn", "Ag", "Ag"], "fractional_positions": [[0.649, 0.149, 0.797], [0.149, 0.351, 0.500], [0.851, 0.649, 0.500], [0.351, 0.851, 0.203], [0.750, 0.750, 0.000], [0.250, 0.250, 0.000]]}